No. 1
{
  "formula": "VS2BrN",
  "functional": "PBE",
  "state": "relaxed",
  "n_ef_per_ev_fu": 4.151,
  "volume_a3_per_atom": 17.71,
  "relative_energy_mev_per_atom": 1387,
  "cell": [[-1.038, -2.190, -4.276], [-3.812, -2.287, 2.096], [-2.180, 2.803, -0.906]],
  "species": ["S", "S", "N", "Br", "V"],
  "frac_coords": [[0.000, 0.500, 0.000], [0.500, 0.000, 0.000], [0.000, 0.000, 0.500], [0.000, 0.000, 0.000], [0.500, 0.500, 0.500]]
}

No. 2
{
  "formula": "VSBr2N",
  "functional": "PBE",
  "state": "relaxed",
  "n_ef_per_ev_fu": 6.224,
  "total_energy_ev_per_atom": -3.6674,
  "volume_a3_per_atom": 17.51,
  "cell": [[-1.946, -2.007, -3.691], [-0.823, -3.316, 2.238], [-4.096, 1.811, 1.176]],
  "species": ["S", "N", "Br", "Br", "V"],
  "frac_coords": [[0.000, 0.500, 0.000], [0.000, 0.000, 0.000], [0.000, 0.000, 0.500], [0.500, 0.000, 0.000], [0.500, 0.500, 0.500]]
}

No. 3
{
  "formula": "VS2BrN",
  "functional": "PBE",
  "state": "relaxed",
  "n_ef_per_ev_fu": 4.413,
  "volume_a3_per_atom": 16.77,
  "relative_energy_mev_per_atom": 0,
  "cell": [[4.769, 0.000, 0.000], [0.000, 4.769, 0.000], [0.000, 0.000, 3.686]],
  "species": ["S", "S", "N", "Br", "V"],
  "frac_coords": [[0.000, 0.500, 0.000], [0.500, 0.000, 0.000], [0.000, 0.000, 0.500], [0.500, 0.500, 0.500], [0.000, 0.000, 0.000]]
}

No. 4
{
  "formula": "YSBrN2",
  "functional": "PBE",
  "state": "relaxed",
  "n_ef_per_ev_fu": 2.903,
  "volume_a3_per_atom": 23.85,
  "relative_energy_mev_per_atom": 0,
  "cell": [[-3.034, 0.854, -3.398], [-2.301, -3.875, 1.080], [-3.165, 2.869, 3.547]],
  "species": ["Y", "S", "Br", "N", "N"],
  "frac_coords": [[0.000, 0.000, 0.000], [0.000, 0.000, 0.500], [0.500, 0.500, 0.500], [0.000, 0.500, 0.000], [0.500, 0.000, 0.000]]
}